Computed, not measured: crystalline TlCo2SeCl at its relaxed geometry at the PBE-GGA level of DFT.

Computed properties:
- Energy above the lowest structure with this stoichiometry: 7.63 kcal/mol of atoms
- E_tot: -18.85 eV per formula unit
- V: 124.6 Å³/f.u.
- Formation energy without anion corrections: 296 kJ/mol of formula units

Structure (extended XYZ):
```
5
Lattice="-0.206 -2.206 -3.514 5.680 -3.916 2.125 -2.555 -2.704 1.847" Properties=species:S:1:pos:R:3 pbc="T T T"
Co -1.278 -1.352 0.924
Cl 0.000 0.000 0.000
Tl 2.840 -1.958 1.062
Co -0.103 -1.103 -1.757
Se 1.459 -4.413 0.229
```

***

Computed, not measured: crystalline TbPm2PuSe4 at its relaxed geometry at the PBE-GGA level of DFT.

Computed properties:
- E_tot: -56.50 eV per formula unit
- V: 203.2 Å³/f.u.
- Formation energy without anion corrections: -1360 kJ/mol of formula units

Structure (extended XYZ):
```
8
Lattice="-3.391 1.203 2.040 -3.620 0.338 -6.217 -0.679 -6.628 2.780" Properties=species:S:1:pos:R:3 pbc="T T T"
Se -1.421 -4.929 0.545
Tb 0.000 0.000 0.000
Pm -2.035 -2.713 2.410
Se -2.750 -0.922 0.166
Pu -3.506 0.770 -2.088
Se -2.878 -1.362 -3.981
Pm -2.149 -3.145 -1.718
Se -4.940 -4.165 -1.562
```

***

Computed, not measured: crystalline FeTc2GeN at its relaxed geometry at the PBE-GGA level of DFT.

Computed properties:
- E_tot: -42.02 eV per formula unit
- V: 61.9 Å³/f.u.
- Formation energy without anion corrections: 12 kJ/mol of formula units

Structure (extended XYZ):
```
5
Lattice="4.086 0.000 0.000 0.000 4.086 0.000 0.000 0.000 3.706" Properties=species:S:1:pos:R:3 pbc="T T T"
Ge 2.043 2.043 1.853
N 0.000 0.000 0.000
Tc 2.043 0.000 0.000
Tc 0.000 2.043 0.000
Fe 0.000 0.000 1.853
```

***

Computed, not measured: crystalline LaSm5Ho4 at its relaxed geometry at the PBE-GGA level of DFT.

Computed properties:
- E_tot: -43.99 eV per formula unit
- V: 335.4 Å³/f.u.
- E_form: 2.8 eV/f.u.

Structure (extended XYZ):
```
10
Lattice="6.331 0.000 0.000 3.166 7.279 0.000 3.166 0.000 7.279" Properties=species:S:1:pos:R:3 pbc="T T T"
Ho 6.038 2.911 5.091
La 1.401 0.000 0.000
Sm 4.312 0.000 0.000
Ho 6.038 4.368 2.188
Sm 6.004 6.649 4.502
Ho 2.872 2.188 2.911
Sm 9.170 2.777 6.649
Ho 9.203 5.091 4.368
Sm 2.839 4.502 0.630
Sm 6.004 0.630 2.777
```

***

Computed, not measured: crystalline PmSc2Cd at its relaxed geometry at the PBE-GGA level of DFT.

Computed properties:
- Energy above the lowest structure with this stoichiometry: 7.65 kcal/mol of atoms
- E_tot: -17.46 eV per formula unit
- V: 111.2 Å³/f.u.
- E_form: 0.9 eV/f.u.

Structure (extended XYZ):
```
4
Lattice="3.340 0.000 0.000 1.670 2.892 0.000 1.670 0.964 11.510" Properties=species:S:1:pos:R:3 pbc="T T T"
Sc 3.340 1.928 2.719
Cd 3.340 1.928 5.755
Sc 3.340 1.928 8.791
Pm 0.000 0.000 0.000
```

***

Computed, not measured: crystalline CsTl2RhF6 at its relaxed geometry at the PBE-GGA level of DFT.

Computed properties:
- E_tot: -43.62 eV per formula unit
- V: 209.9 Å³/f.u.
- Formation energy without anion corrections: -1878 kJ/mol of formula units

Structure (extended XYZ):
```
20
Lattice="-0.465 2.621 5.598 -7.159 0.177 -0.678 -0.582 -8.543 3.911" Properties=species:S:1:pos:R:3 pbc="T T T"
F -7.047 -4.678 4.413
F -1.395 -3.616 3.045
F -3.483 -6.538 7.651
F -4.723 0.794 1.180
Tl -1.103 -3.627 8.372
F -3.382 -6.595 3.370
Cs -0.233 1.311 2.799
F -2.198 -3.317 5.839
Tl -3.723 -0.589 3.320
Rh -3.580 0.089 -0.339
F -1.159 -1.066 4.419
Rh -0.523 -2.961 4.754
Tl -4.484 -5.156 5.511
F -4.824 0.850 5.461
F -6.008 -2.427 2.992
F -2.158 -0.345 1.039
Cs -3.871 -4.183 1.617
F -6.811 -2.128 5.786
Tl -7.104 -2.117 0.459
F -6.048 -5.400 7.792
```

***

Computed, not measured: crystalline SbRh2Pb at its relaxed geometry at the PBE-GGA level of DFT.

Computed properties:
- Energy above the lowest structure with this stoichiometry: 6.39 kcal/mol of atoms
- E_tot: -22.73 eV per formula unit
- V: 77.6 Å³/f.u.
- Formation energy without anion corrections: -19 kJ/mol of formula units

Structure (extended XYZ):
```
4
Lattice="8.388 -1.639 0.008 8.388 1.639 0.008 8.066 0.000 2.828" Properties=species:S:1:pos:R:3 pbc="T T T"
Rh 18.791 0.000 2.151
Sb 12.421 0.000 1.422
Rh 6.052 0.000 0.693
Pb 0.000 0.000 0.000
```

***

Computed, not measured: crystalline Al2HgI2 at its relaxed geometry at the PBE-GGA level of DFT.

Computed properties:
- Energy above the lowest structure with this stoichiometry: 0.00 kcal/mol of atoms
- E_tot: -10.12 eV per formula unit
- V: 192.9 Å³/f.u.
- Formation energy without anion corrections: 74 kJ/mol of formula units

Structure (extended XYZ):
```
10
Lattice="-6.018 5.018 6.222 -2.256 -8.538 4.704 2.954 0.550 2.414" Properties=species:S:1:pos:R:3 pbc="T T T"
I -6.638 -1.081 8.369
I -4.148 -5.553 6.340
Al -1.070 1.118 4.132
Hg 0.000 0.000 0.000
Al -0.667 -4.427 4.902
I -4.127 2.034 4.586
Hg -4.137 -1.760 5.463
Al -4.653 1.457 8.439
Al -4.250 -4.088 9.209
I -1.636 -2.438 2.557
```